No. 1
A plane-wave DFT calculation with PBE was carried out for a relaxed CaErCuPt crystal.

Computed properties:
offset from the most stable computed form = 59.1 meV per atom
DOS at the Fermi energy = 0.485 states/eV/atom
uncorrected energy = -4.8184 eV/atom
formation energy from the elements = -0.643 eV per atom
spin magnetization = 0.00 μB/atom

Cell: 4.910 4.910 4.910 Å, 60.00 60.00 60.00°
Atoms (fractional coordinates):
Ca1 0.000 0.000 0.000
Er1 0.500 0.500 0.500
Cu1 0.750 0.750 0.750
Pt1 0.250 0.250 0.250

---

No. 2
A plane-wave DFT calculation with PBE was carried out for a relaxed CaErCuPt crystal.

Computed properties:
offset from the most stable computed form = 0.0 meV per atom
DOS at the Fermi energy = 0.652 states/eV/atom
uncorrected energy = -4.8775 eV/atom
formation energy from the elements = -0.702 eV per atom
spin magnetization = 0.00 μB/atom

Cell: 4.247 5.791 5.791 Å, 39.04 90.00 90.00°
Atoms (fractional coordinates):
Ca1 0.000 0.000 0.000
Er1 0.500 0.720 0.720
Cu1 0.500 0.425 0.425
Pt1 0.000 0.277 0.277

---

Which of these has the lowest DOS at the Fermi energy? number 1